<w>
VASP calculation (PBE) on a relaxed Ag2SbBr6 crystal. Values from VASP.

Structure (Quantum ESPRESSO input):
```
&SYSTEM
  ibrav = 0, nat = 18, ntyp = 3
/
ATOMIC_SPECIES
Br 79.90 Br.upf
Ag 107.87 Ag.upf
Sb 121.76 Sb.upf
CELL_PARAMETERS angstrom
-2.178 6.332 -1.872
1.567 -1.326 -6.311
-11.206 -4.368 -1.865
ATOMIC_POSITIONS crystal
Br 0.673 0.265 0.834
Ag 0.001 0.501 0.828
Br 0.327 0.735 0.166
Ag 0.999 0.499 0.172
Br 0.828 0.764 0.334
Br 0.174 0.258 0.000
Br 0.826 0.742 0.000
Sb 0.000 0.000 0.500
Br 0.172 0.236 0.666
Br 0.672 0.264 0.166
Br 0.328 0.736 0.834
Sb 0.500 0.500 0.000
Br 0.674 0.242 0.500
Br 0.173 0.235 0.334
Ag 0.499 0.001 0.672
Br 0.827 0.765 0.666
Br 0.326 0.758 0.500
Ag 0.501 0.999 0.328
```

Its density of states at the Fermi level is 0.997 states/eV per atom. Its space-group type is P2_1/c, No. 14. As for the crystal system: monoclinic.

<x>
VASP calculation (PBE) on a relaxed Ag2SbBr6 crystal. Values from VASP.

Structure (Quantum ESPRESSO input):
```
&SYSTEM
  ibrav = 0, nat = 18, ntyp = 3
/
ATOMIC_SPECIES
Br 79.90 Br.upf
Sb 121.76 Sb.upf
Ag 107.87 Ag.upf
CELL_PARAMETERS angstrom
8.110 -0.075 -0.073
2.265 9.415 -0.118
2.265 0.188 9.414
ATOMIC_POSITIONS crystal
Br 0.117 0.789 0.998
Br 0.689 0.655 0.091
Br 0.883 0.211 0.002
Sb 0.750 0.903 0.097
Br 0.311 0.345 0.909
Br 0.617 0.998 0.789
Br 0.811 0.909 0.345
Br 0.543 0.609 0.596
Br 0.189 0.091 0.655
Br 0.457 0.391 0.404
Ag 0.742 0.755 0.671
Ag 0.758 0.329 0.245
Br 0.383 0.002 0.211
Sb 0.250 0.097 0.903
Ag 0.242 0.671 0.755
Ag 0.258 0.245 0.329
Br 0.957 0.404 0.391
Br 0.043 0.596 0.609
```

Its density of states at the Fermi level is 0.351 states/eV per atom. Its space-group type is C2/c, No. 15. As for the crystal system: monoclinic.

Result of the stability comparison: <x> is the least stable of them.

<w>
VASP calculation (PBE) on a relaxed AgSbTe2Br crystal. Values from VASP.

Structure (Quantum ESPRESSO input):
```
&SYSTEM
  ibrav = 0, nat = 5, ntyp = 4
/
ATOMIC_SPECIES
Br 79.90 Br.upf
Sb 121.76 Sb.upf
Te 127.60 Te.upf
Ag 107.87 Ag.upf
CELL_PARAMETERS angstrom
-1.015 -5.613 -0.379
4.670 -1.056 3.124
-3.026 0.236 4.603
ATOMIC_POSITIONS crystal
Br 0.000 0.000 0.000
Sb 0.000 0.000 0.500
Te 0.500 0.000 0.000
Te 0.000 0.500 0.000
Ag 0.500 0.500 0.500
```

Its density of states at the Fermi level is 1.173 states/eV per atom. Its space-group type is P4/mmm, No. 123. As for the crystal system: tetragonal.

<x>
VASP calculation (PBE) on a relaxed AgSbTe2Br crystal. Values from VASP.

Structure (Quantum ESPRESSO input):
```
&SYSTEM
  ibrav = 0, nat = 5, ntyp = 4
/
ATOMIC_SPECIES
Ag 107.87 Ag.upf
Sb 121.76 Sb.upf
Br 79.90 Br.upf
Te 127.60 Te.upf
CELL_PARAMETERS angstrom
5.351 0.000 0.000
0.000 5.351 0.000
0.000 0.000 5.680
ATOMIC_POSITIONS crystal
Ag 0.000 0.000 0.000
Sb 0.000 0.000 0.500
Br 0.500 0.500 0.500
Te 0.000 0.500 0.000
Te 0.500 0.000 0.000
```

Its density of states at the Fermi level is 1.067 states/eV per atom. Its space-group type is P4/mmm, No. 123. As for the crystal system: tetragonal.

Result of the stability comparison: <w> is the least stable of them.

<w>
VASP calculation (PBE) on a relaxed ScAgBr2 crystal. Values from VASP.

Structure (Quantum ESPRESSO input):
```
&SYSTEM
  ibrav = 0, nat = 4, ntyp = 3
/
ATOMIC_SPECIES
Br 79.90 Br.upf
Ag 107.87 Ag.upf
Sc 44.96 Sc.upf
CELL_PARAMETERS angstrom
-2.372 0.513 2.626
3.052 -1.749 0.646
4.883 9.466 2.562
ATOMIC_POSITIONS crystal
Br 0.000 0.000 0.429
Br 0.000 0.000 0.071
Ag 0.500 0.500 0.750
Sc 0.500 0.500 0.250
```

Its density of states at the Fermi level is 0.475 states/eV per atom. Its space-group type is Cmmm, No. 65. As for the crystal system: orthorhombic.

<x>
VASP calculation (PBE) on a relaxed ScAgBr2 crystal. Values from VASP.

Structure (Quantum ESPRESSO input):
```
&SYSTEM
  ibrav = 0, nat = 4, ntyp = 3
/
ATOMIC_SPECIES
Ag 107.87 Ag.upf
Br 79.90 Br.upf
Sc 44.96 Sc.upf
CELL_PARAMETERS angstrom
-2.698 -0.526 -4.291
-1.740 -4.590 -1.370
-4.990 -1.007 0.235
ATOMIC_POSITIONS crystal
Ag 0.500 0.500 0.500
Br 0.250 0.250 0.250
Sc 0.750 0.750 0.750
Br 0.000 0.000 0.000
```

Its space-group type is F-43m, No. 216. As for the crystal system: cubic.

Result of the stability comparison: <x> is the least stable of them.

<w>
VASP calculation (PBE) on a relaxed ScAgBr crystal. Values from VASP.

Structure (Quantum ESPRESSO input):
```
&SYSTEM
  ibrav = 0, nat = 3, ntyp = 3
/
ATOMIC_SPECIES
Br 79.90 Br.upf
Sc 44.96 Sc.upf
Ag 107.87 Ag.upf
CELL_PARAMETERS angstrom
7.105 -0.066 0.069
6.358 3.171 0.073
0.747 0.166 3.233
ATOMIC_POSITIONS crystal
Br 0.706 0.706 0.294
Sc 0.328 0.328 0.672
Ag 0.966 0.966 0.034
```

Its density of states at the Fermi level is 0.634 states/eV per atom. Its space-group type is I4mm, No. 107. As for the crystal system: tetragonal.

<x>
VASP calculation (PBE) on a relaxed ScAgBr crystal. Values from VASP.

Structure (Quantum ESPRESSO input):
```
&SYSTEM
  ibrav = 0, nat = 3, ntyp = 3
/
ATOMIC_SPECIES
Ag 107.87 Ag.upf
Sc 44.96 Sc.upf
Br 79.90 Br.upf
CELL_PARAMETERS angstrom
4.755 0.000 0.000
2.378 4.118 0.000
2.378 1.373 3.883
ATOMIC_POSITIONS crystal
Ag 0.000 0.000 0.000
Sc 0.750 0.750 0.750
Br 0.500 0.500 0.500
```

Its density of states at the Fermi level is 0.940 states/eV per atom. Its space-group type is F-43m, No. 216. As for the crystal system: cubic.

Result of the stability comparison: <x> is the least stable of them.

<w>
VASP calculation (PBE) on a relaxed ScAgBr crystal. Values from VASP.

Structure (Quantum ESPRESSO input):
```
&SYSTEM
  ibrav = 0, nat = 6, ntyp = 3
/
ATOMIC_SPECIES
Ag 107.87 Ag.upf
Br 79.90 Br.upf
Sc 44.96 Sc.upf
CELL_PARAMETERS angstrom
3.479 0.000 0.000
-1.739 3.012 0.000
0.000 0.000 14.556
ATOMIC_POSITIONS crystal
Ag 0.343 0.686 0.000
Br 0.331 0.663 0.771
Sc 0.665 0.330 0.357
Br 0.331 0.663 0.229
Sc 0.665 0.330 0.643
Ag 0.331 0.662 0.500
```

Its density of states at the Fermi level is 0.468 states/eV per atom. Its space-group type is Amm2, No. 38. As for the crystal system: orthorhombic.

<x>
VASP calculation (PBE) on a relaxed ScAgBr crystal. Values from VASP.

Structure (Quantum ESPRESSO input):
```
&SYSTEM
  ibrav = 0, nat = 3, ntyp = 3
/
ATOMIC_SPECIES
Ag 107.87 Ag.upf
Sc 44.96 Sc.upf
Br 79.90 Br.upf
CELL_PARAMETERS angstrom
4.707 0.000 0.000
-2.353 4.076 0.000
0.000 0.000 3.613
ATOMIC_POSITIONS crystal
Ag 0.000 0.000 0.000
Sc 0.333 0.667 0.499
Br 0.667 0.333 0.501
```

Its density of states at the Fermi level is 0.890 states/eV per atom. Its space-group type is P-6m2, No. 187. As for the crystal system: hexagonal.

<y>
VASP calculation (PBE) on a relaxed ScAgBr crystal. Values from VASP.

Structure (Quantum ESPRESSO input):
```
&SYSTEM
  ibrav = 0, nat = 3, ntyp = 3
/
ATOMIC_SPECIES
Br 79.90 Br.upf
Ag 107.87 Ag.upf
Sc 44.96 Sc.upf
CELL_PARAMETERS angstrom
3.562 0.000 0.000
-1.781 3.085 0.000
0.000 0.000 7.009
ATOMIC_POSITIONS crystal
Br 0.667 0.333 0.401
Ag 0.000 0.000 0.941
Sc 0.333 0.667 0.658
```

Its density of states at the Fermi level is 0.783 states/eV per atom. Its space-group type is P3m1, No. 156. As for the crystal system: trigonal.

Result of the stability comparison: <x> is the least stable of them.